## one
Entry from Alexandria via LeMat-Bulk: a relaxed CoTe2I crystal (PBE-GGA).

Output
- Symmetry: No. 62
- DOS at the Fermi energy: 0.553 states/eV/atom

Cell: 10.2907 3.7070 13.6259 Å, 90.00 90.00 90.00°
Closest atoms and distances in Å follow each position.
Sites, in units of the cell vectors:
I  0.1083  0.2500  0.6185  1 Te 2.91
I  0.3917  0.7500  0.1185  1 Te 2.91
I  0.8917  0.7500  0.3815  1 Te 2.91
I  0.6083  0.2500  0.8815  1 Te 2.91
Te  0.6538  0.2500  0.5716  3 Co 2.45-2.55
Te  0.8462  0.7500  0.0716  3 Co 2.45-2.55
Te  0.3462  0.7500  0.4284  3 Co 2.45-2.55
Te  0.1538  0.2500  0.9284  3 Co 2.45-2.55
Te  0.3817  0.2500  0.6733  2 Co 2.52
Te  0.1183  0.7500  0.1733  2 Co 2.52
Te  0.6183  0.7500  0.3267  2 Co 2.52
Te  0.8817  0.2500  0.8267  2 Co 2.52
Co  0.5165  0.2500  0.4252  5 Te 2.45-2.55
Co  0.9835  0.7500  0.9252  5 Te 2.45-2.55
Co  0.4835  0.7500  0.5748  5 Te 2.45-2.55
Co  0.0165  0.2500  0.0748  5 Te 2.45-2.55

## two
Entry from Alexandria via LeMat-Bulk: a relaxed CoTe2I crystal (PBE-GGA).

Output
- Symmetry: No. 140
- DOS at the Fermi energy: 1.358 states/eV/atom

Cell: 9.4189 9.4189 7.3103 Å, 49.89 49.89 90.00°
Closest atoms and distances in Å follow each position.
Sites, in units of the cell vectors:
I  0.7500  0.7500  0.5000  2 I 3.01
I  0.2500  0.2500  0.5000  2 I 3.01
Te  0.8589  0.3589  0.0000  2 Co 2.41
Te  0.1411  0.6411  0.0000  2 Co 2.41
Te  0.3589  0.1411  0.0000  2 Co 2.41
Te  0.6411  0.8589  0.0000  2 Co 2.41
Co  0.7500  0.2500  0.5000  4 Te 2.41
Co  0.2500  0.7500  0.5000  4 Te 2.41

## three
Entry from Alexandria via LeMat-Bulk: a relaxed CoTe2I crystal (PBE-GGA).

Output
- Symmetry: No. 156
- DOS at the Fermi energy: 0.655 states/eV/atom

Cell: 3.9382 3.9382 8.1791 Å, 90.00 90.00 120.00°
Closest atoms and distances in Å follow each position.
Sites, in units of the cell vectors:
I  0.3333  0.6667  0.4835  1 Te 2.97
Te  0.3333  0.6667  0.8465  3 Co 2.53
Te  0.6667  0.3333  0.1441  3 Co 2.64
Co  0.0000  0.0000  0.9808  6 Te 2.53-2.64

## four
Entry from Alexandria via LeMat-Bulk: a relaxed CoTe2I crystal (PBE-GGA).

Output
- Symmetry: No. 166
- DOS at the Fermi energy: 1.283 states/eV/atom

Cell: 13.5196 13.5196 13.5196 Å, 13.99 13.99 13.99°
Closest atoms and distances in Å follow each position.
Sites, in units of the cell vectors:
I  0.5000  0.5000  0.5000  6 I 3.29
Te  0.0608  0.0608  0.0608  1 Co 2.44
Te  0.9392  0.9392  0.9392  1 Co 2.44
Co  0.0000  0.0000  0.0000  2 Te 2.44

Need the numbers? Relative energies in kJ/mol of atoms: one 2.0; two 22.6; three 0.0; four 55.7.